1.
SrZrCd2: relaxed, PBE-GGA.

```
data_SrZrCd2
_chemical_formula_sum 'Sr2 Zr2 Cd4'
_symmetry_space_group_name_H-M 'I -4 m 2'
_symmetry_Int_Tables_number 119
_symmetry_space_group_name_Hall 'I -4 -2'
_cell_length_a 4.5350
_cell_length_b 4.5350
_cell_length_c 10.2752
_cell_angle_alpha 90.00
_cell_angle_beta 90.00
_cell_angle_gamma 90.00
loop_
_atom_site_label
_atom_site_type_symbol
_atom_site_fract_x
_atom_site_fract_y
_atom_site_fract_z
Sr1 Sr 0.0000 0.0000 0.0000
Zr1 Zr 0.0000 0.5000 0.7500
Cd1 Cd 0.0000 0.0000 0.5000
Cd2 Cd 0.0000 0.5000 0.2500
```

total DFT energy (no corrections)	-2.84	eV/atom
volume	211.32	Å³ per cell
DFT formation energy	0.176	eV/atom
size of the total moment	0.0	μB/f.u.

2.
AcLa5TbPm2: relaxed, PBE-GGA.

```
data_AcLa5TbPm2
_chemical_formula_sum 'Ac2 La10 Tb2 Pm4'
_symmetry_space_group_name_H-M 'P 4/m b m'
_symmetry_Int_Tables_number 127
_symmetry_space_group_name_Hall '-P 4 2ab'
_cell_length_a 8.0448
_cell_length_b 8.0448
_cell_length_c 10.5035
_cell_angle_alpha 90.00
_cell_angle_beta 90.00
_cell_angle_gamma 90.00
loop_
_atom_site_label
_atom_site_type_symbol
_atom_site_fract_x
_atom_site_fract_y
_atom_site_fract_z
Ac1 Ac 0.0000 0.0000 0.0000
La1 La 0.0000 0.0000 0.5000
La2 La 0.1987 0.3013 0.2444
Tb1 Tb 0.0000 0.5000 0.0000
Pm1 Pm 0.1304 0.6304 0.5000
```

total DFT energy (no corrections)	-4.53	eV/atom
volume	679.77	Å³ per cell
DFT formation energy	0.234	eV/atom
size of the total moment	0.0	μB/f.u.

Which value of volume does entry 1 give? 211.32 Å³ per cell

Which value of total DFT energy (no corrections) does entry 2 give? -4.53 eV/atom